Material: LaCdCu2I
Method: DFT, PBEsol
State: optimized geometry

Geometry as extended XYZ:
```
5
Lattice="4.801 0.000 0.000 0.000 4.801 0.000 0.000 0.000 5.889" Properties=species:S:1:pos:R:3 pbc="T T T"
Cu 2.400 0.000 0.000
Cu 0.000 2.400 0.000
Cd 0.000 0.000 0.000
I 2.400 2.400 2.945
La 0.000 0.000 2.945
```

Results
V ... 27.149 Å³ per atom
DFT total energy ... -3.146 eV per atom
DOS(E_F) ... 2.93 states/eV per cell
Distance to the lowest polymorph of the same formula ... 0 meV per atom
E_form (uncorrected) ... 0.2497 eV per atom
Magnetic moment ... 0.00 Bohr magnetons per cell

=====

Material: BeSeCl
Method: DFT, PBEsol
State: optimized geometry

Geometry as extended XYZ:
```
3
Lattice="-2.270 0.467 1.778 1.279 -1.628 2.060 3.348 5.721 0.372" Properties=species:S:1:pos:R:3 pbc="T T T"
Be 0.060 0.109 0.048
Cl 0.166 0.610 2.450
Se 2.132 3.841 1.712
```

Results
V ... 17.942 Å³ per atom
DFT total energy ... -3.342 eV per atom
DOS(E_F) ... 0.57 states/eV per cell
E_form (uncorrected) ... -0.0564 eV per atom
Magnetic moment ... 0.00 Bohr magnetons per cell

=====

Material: CdTc2Se
Method: DFT, PBEsol
State: optimized geometry

Geometry as extended XYZ:
```
4
Lattice="-1.671 2.043 1.358 -3.453 -0.963 -2.802 0.993 -3.868 3.799" Properties=species:S:1:pos:R:3 pbc="T T T"
Tc -2.612 -2.358 0.335
Tc -0.018 -0.037 0.035
Cd -1.547 -3.281 3.034
Se -1.524 -0.438 2.029
```

Results
V ... 16.193 Å³ per atom
DFT total energy ... -6.461 eV per atom
DOS(E_F) ... 4.25 states/eV per cell
Distance to the lowest polymorph of the same formula ... 118 meV per atom
E_form (uncorrected) ... 0.4339 eV per atom
Magnetic moment ... 0.00 Bohr magnetons per cell

=====

Material: KCd2Se
Method: DFT, PBEsol
State: optimized geometry

Geometry as extended XYZ:
```
4
Lattice="-2.873 -2.852 -1.522 -2.921 -2.567 4.177 -5.376 1.831 0.570" Properties=species:S:1:pos:R:3 pbc="T T T"
Se -2.530 -1.000 0.503
Cd -8.619 -2.597 2.699
Cd -2.962 -2.818 -1.419
K -5.515 -1.822 1.532
```

Results
V ... 28.657 Å³ per atom
DFT total energy ... -2.089 eV per atom
DOS(E_F) ... 1.29 states/eV per cell
E_form (uncorrected) ... -0.2449 eV per atom
Magnetic moment ... 0.00 Bohr magnetons per cell

=====

Material: Li3ZrPt
Method: DFT, PBEsol
State: optimized geometry

Geometry as extended XYZ:
```
5
Lattice="-1.279 -4.219 0.567 3.654 -1.392 -2.115 2.185 -0.143 3.869" Properties=species:S:1:pos:R:3 pbc="T T T"
Li -0.640 -2.110 0.283
Li 1.827 -0.696 -1.058
Li 1.093 -0.071 1.934
Pt 0.000 0.000 0.000
Zr 2.280 -2.877 1.160
```

Results
V ... 17.570 Å³ per atom
DFT total energy ... -3.999 eV per atom
DOS(E_F) ... 4.35 states/eV per cell
Formation energy ... 0.3919 eV per atom
Magnetic moment ... 0.86 Bohr magnetons per cell

=====

Material: Na2MgAu2
Method: DFT, PBEsol
State: optimized geometry

Geometry as extended XYZ:
```
5
Lattice="-0.380 3.281 2.086 -3.861 -0.562 0.181 2.930 -5.018 4.768" Properties=species:S:1:pos:R:3 pbc="T T T"
Au 0.657 -2.971 4.792
Au -1.968 0.671 2.243
Mg 0.000 0.000 0.000
Na -1.526 -2.110 3.041
Na 0.215 -0.189 3.994
```

Results
V ... 21.330 Å³ per atom
DFT total energy ... -2.573 eV per atom
DOS(E_F) ... 1.74 states/eV per cell
Formation energy ... -0.1005 eV per atom
Magnetic moment ... 0.00 Bohr magnetons per cell

=====

Which of these has the highest V? KCd2Se